VASP calculation (PBE+U) on a geometry-optimized FeCuF4 structure.

Properties
The value obtained for the total magnetic moment is 10.002 μB/cell. As for the uncorrected energy: -4.76 eV per atom. Its space-group type is Cmcm, No. 63.

Cell lengths 5.552, 5.552, 6.274 Å; angles 90.00, 90.00, 117.92 degrees
Atoms (fractional coordinates):
Fe (0.000, 0.000, 0.000)
Fe (0.000, 0.000, 0.500)
Cu (0.334, 0.666, 0.750)
Cu (0.666, 0.334, 0.250)
F (0.203, 0.797, 0.512)
F (0.203, 0.797, 0.988)
F (0.225, 0.249, 0.750)
F (0.249, 0.225, 0.250)
F (0.751, 0.775, 0.750)
F (0.775, 0.751, 0.250)
F (0.797, 0.203, 0.012)
F (0.797, 0.203, 0.488)